Entry 1:
The following is a PBE calculation of crystalline TaCd2Rh at its relaxed geometry, from Alexandria via LeMat-Bulk.

## Properties
Final energy: -5.21 eV per atom
Symmetry: No. 8

Cell: 4.9050 4.9050 5.4124 Å, 97.72 97.72 34.31°
Sites, in units of the cell vectors:
Ta1 0.0000 0.0000 0.0000
Cd1 0.2446 0.2446 0.7076
Cd2 0.4877 0.4877 0.4734
Rh1 0.7444 0.7444 0.1762

---

Entry 2:
The following is a PBE calculation of crystalline TaCdRh4 at its relaxed geometry, from Alexandria via LeMat-Bulk.

## Properties
Final energy: -7.15 eV per atom
Symmetry: No. 216

Cell: 5.1432 5.1432 5.1432 Å, 60.00 60.00 60.00°
Sites, in units of the cell vectors:
Ta1 0.0000 0.0000 0.0000
Cd1 0.2500 0.2500 0.2500
Rh1 0.1261 0.6246 0.6246
Rh2 0.6246 0.1261 0.6246
Rh3 0.6246 0.6246 0.1261
Rh4 0.6246 0.6246 0.6246

---

Entry 3:
The following is a PBE calculation of crystalline TaCd2Rh at its relaxed geometry, from Alexandria via LeMat-Bulk.

## Properties
Final energy: -5.06 eV per atom
Symmetry: No. 166

Cell: 9.7515 9.7515 9.7515 Å, 17.44 17.44 17.44°
Sites, in units of the cell vectors:
Ta1 0.0000 0.0000 0.0000
Cd1 0.2443 0.2443 0.2443
Cd2 0.7557 0.7557 0.7557
Rh1 0.5000 0.5000 0.5000

---

Entry 4:
The following is a PBE calculation of crystalline TaCd2Rh at its relaxed geometry, from Alexandria via LeMat-Bulk.

## Properties
Final energy: -5.09 eV per atom
Symmetry: No. 47

Cell: 2.9266 4.4636 5.5262 Å, 90.00 90.00 90.00°
Sites, in units of the cell vectors:
Ta1 0.0000 0.0000 0.0000
Cd1 0.5000 0.5000 0.2562
Cd2 0.5000 0.5000 0.7438
Rh1 0.0000 0.0000 0.5000

---

Entry 5:
The following is a PBE calculation of crystalline Ta4CdRh at its relaxed geometry, from Alexandria via LeMat-Bulk.

## Properties
Final energy: -8.93 eV per atom
Symmetry: No. 216

Cell: 5.4191 5.4191 5.4191 Å, 60.00 60.00 60.00°
Sites, in units of the cell vectors:
Ta1 0.1245 0.1245 0.1245
Ta2 0.1245 0.1245 0.6266
Ta3 0.1245 0.6266 0.1245
Ta4 0.6266 0.1245 0.1245
Cd1 0.7500 0.7500 0.7500
Rh1 0.5000 0.5000 0.5000

---

Entry 6:
The following is a PBE calculation of crystalline TaCd2Rh at its relaxed geometry, from Alexandria via LeMat-Bulk.

## Properties
Final energy: -5.16 eV per atom
Symmetry: No. 119

Cell: 4.7553 4.7553 4.7553 Å, 123.80 123.80 83.54°
Sites, in units of the cell vectors:
Ta1 0.0000 0.0000 0.0000
Cd1 0.2500 0.7500 0.5000
Cd2 0.5000 0.5000 0.0000
Rh1 0.7500 0.2500 0.5000

---

Entry 7:
The following is a PBE calculation of crystalline TaCd2Rh at its relaxed geometry, from Alexandria via LeMat-Bulk.

## Properties
Final energy: -4.92 eV per atom
Symmetry: No. 225

Cell: 4.6475 4.6475 4.6475 Å, 60.00 60.00 60.00°
Sites, in units of the cell vectors:
Ta1 0.0000 0.0000 0.0000
Cd1 0.2500 0.2500 0.2500
Cd2 0.7500 0.7500 0.7500
Rh1 0.5000 0.5000 0.5000

---

Entry 8:
The following is a PBE calculation of crystalline TaCd2Rh at its relaxed geometry, from Alexandria via LeMat-Bulk.

## Properties
Final energy: -4.88 eV per atom
Symmetry: No. 123

Cell: 4.9304 4.9304 2.9944 Å, 90.00 90.00 90.00°
Sites, in units of the cell vectors:
Ta1 0.0000 0.0000 0.0000
Cd1 0.0000 0.5000 0.5000
Cd2 0.5000 0.0000 0.5000
Rh1 0.5000 0.5000 0.0000

---

no.,formation energy (eV/atom)
1,0.048
2,-0.122
3,0.203
4,0.171
5,0.349
6,0.097
7,0.339
8,0.382